1.
# LiDy2Hg7, optimized geometry, DFT PBE
data_LiDy2Hg7
_chemical_formula_sum 'Li1 Dy2 Hg7'
_cell_length_a 4.996
_cell_length_b 4.996
_cell_length_c 11.925
_cell_angle_alpha 90.00
_cell_angle_beta 90.00
_cell_angle_gamma 120.00
_space_group_name_H-M_alt 'P 1'
_space_group_IT_number 1
loop_
_space_group_symop_operation_xyz
'x,y,z'
loop_
_atom_site_label
_atom_site_type_symbol
_atom_site_fract_x
_atom_site_fract_y
_atom_site_fract_z
Dy1 Dy 0.667 0.333 0.435
Dy2 Dy 0.333 0.667 0.648
Hg1 Hg 0.000 0.000 0.557
Hg2 Hg 0.667 0.333 0.762
Hg3 Hg 0.333 0.667 0.384
Hg4 Hg 0.333 0.667 0.899
Hg5 Hg 0.333 0.667 0.140
Hg6 Hg 0.000 0.000 0.274
Hg7 Hg 0.667 0.333 0.043
Li1 Li 0.000 0.000 0.841
# ΔH_f (0 K) ... -21.4 kJ per mole of atoms
# M_tot ... 0.000 Bohr magnetons per cell

***

2.
# Tb2InAu2, optimized geometry, DFT PBE
data_Tb2InAu2
_chemical_formula_sum 'Tb4 In2 Au4'
_cell_length_a 7.945
_cell_length_b 7.945
_cell_length_c 3.801
_cell_angle_alpha 90.00
_cell_angle_beta 90.00
_cell_angle_gamma 90.00
_space_group_name_H-M_alt 'P 1'
_space_group_IT_number 1
loop_
_space_group_symop_operation_xyz
'x,y,z'
loop_
_atom_site_label
_atom_site_type_symbol
_atom_site_fract_x
_atom_site_fract_y
_atom_site_fract_z
Au1 Au 0.129 0.629 0.000
Au2 Au 0.371 0.129 0.000
Au3 Au 0.629 0.871 0.000
Au4 Au 0.871 0.371 0.000
Tb1 Tb 0.170 0.330 0.500
Tb2 Tb 0.330 0.830 0.500
Tb3 Tb 0.670 0.170 0.500
Tb4 Tb 0.830 0.670 0.500
In1 In 0.500 0.500 0.000
In2 In 0.000 0.000 0.000
# ΔH_f (0 K) ... -77.8 kJ per mole of atoms
# M_tot ... 0.000 Bohr magnetons per cell

***

Question: Among the records above, which one has the highest ΔH_f (0 K)?
Answer: LiDy2Hg7